1.
Compound: Th3TlPb12
Source: Alexandria via LeMat-Bulk
Functional: PBE-GGA
Structure: optimized geometry

a = 4.8960 Å, b = 4.8960 Å, c = 20.1137 Å
α = 90.00°, β = 90.00°, γ = 90.00°
Space group P4/mmm (No. 123)
Symmetry-distinct sites (fractional):
Th: 0.0000 0.0000 0.0000
Th: 0.0000 0.0000 0.2386
Tl: 0.0000 0.0000 0.5000
Pb: 0.0000 0.5000 0.1211
Pb: 0.0000 0.5000 0.3722
Pb: 0.5000 0.5000 0.0000
Pb: 0.5000 0.5000 0.2484
Pb: 0.5000 0.5000 0.5000

Computed properties:
Uncorrected energy (eV per atom): -4.48
Formation enthalpy at 0 K (eV per atom): -0.1594

=====

2.
Compound: Th5Tl4Pb
Source: Alexandria via LeMat-Bulk
Functional: PBE-GGA
Structure: optimized geometry

a = 3.5577 Å, b = 3.5577 Å, c = 23.2212 Å
α = 90.00°, β = 90.00°, γ = 90.00°
Space group P4/mmm (No. 123)
Symmetry-distinct sites (fractional):
Th: 0.0000 0.0000 0.0000
Th: 0.0000 0.0000 0.1988
Th: 0.0000 0.0000 0.3984
Tl: 0.5000 0.5000 0.0997
Tl: 0.5000 0.5000 0.2988
Pb: 0.5000 0.5000 0.5000

Computed properties:
Uncorrected energy (eV per atom): -5.20
Formation enthalpy at 0 K (eV per atom): -0.1726

=====

3.
Compound: ThTlPb
Source: Alexandria via LeMat-Bulk
Functional: PBE-GGA
Structure: optimized geometry

a = 3.3377 Å, b = 3.3377 Å, c = 18.2097 Å
α = 90.00°, β = 90.00°, γ = 90.00°
Space group I4mm (No. 107)
Symmetry-distinct sites (fractional):
Th: 0.0000 0.0000 0.0000
Tl: 0.0000 0.0000 0.1801
Pb: 0.0000 0.0000 0.8192

Computed properties:
Energy above the most stable polymorph in this dataset (eV/atom): 0.551
Uncorrected energy (eV per atom): -4.12
Formation enthalpy at 0 K (eV per atom): 0.3747

=====

4.
Compound: ThTlPb
Source: Alexandria via LeMat-Bulk
Functional: PBE-GGA
Structure: optimized geometry

a = 5.4340 Å, b = 5.4340 Å, c = 3.5042 Å
α = 90.00°, β = 90.00°, γ = 120.00°
Space group P3m1 (No. 156)
Symmetry-distinct sites (fractional):
Th: 0.0000 0.0000 0.0000
Tl: 0.3333 0.6667 0.3917
Pb: 0.6667 0.3333 0.5897

Computed properties:
Energy above the most stable polymorph in this dataset (eV/atom): 0.141
Uncorrected energy (eV per atom): -4.53
Formation enthalpy at 0 K (eV per atom): -0.0354

=====

5.
Compound: Th4Tl2Pb
Source: Alexandria via LeMat-Bulk
Functional: PBE-GGA
Structure: optimized geometry

a = 4.9627 Å, b = 10.6307 Å, c = 16.5418 Å
α = 90.00°, β = 90.00°, γ = 90.00°
Space group Cmcm (No. 63)
Symmetry-distinct sites (fractional):
Th: 0.0000 0.0000 0.0000
Th: 0.0000 0.2686 0.2500
Th: 0.0000 0.3902 0.6384
Tl: 0.0000 0.3071 0.0573
Pb: 0.0000 0.0388 0.7500

Computed properties:
Uncorrected energy (eV per atom): -5.48
Formation enthalpy at 0 K (eV per atom): -0.0350

=====

6.
Compound: Th4TlPb2
Source: Alexandria via LeMat-Bulk
Functional: PBE-GGA
Structure: optimized geometry

a = 6.1463 Å, b = 6.6671 Å, c = 11.0917 Å
α = 90.00°, β = 103.35°, γ = 90.00°
Space group P2_1/m (No. 11)
Symmetry-distinct sites (fractional):
Th: 0.0078 0.2500 0.3356
Th: 0.1421 0.2500 0.9393
Th: 0.4364 0.5049 0.2295
Tl: 0.0652 0.2500 0.6446
Pb: 0.2960 0.7500 0.9529
Pb: 0.4297 0.7500 0.4978

Computed properties:
Uncorrected energy (eV per atom): -5.73
Formation enthalpy at 0 K (eV per atom): -0.0917

=====

Which of these has the highest formation enthalpy at 0 K?
number 3